No. 1
TbGd2Tl | PBE-GGA | relaxed

Results
Space group ... Fm-3m (225)
DOS at the Fermi energy ... 4.70 states/eV/cell
VASP energy ... -0.651 Ry/atom
Formation energy ... -74 meV per atom
Excess energy over the best structure of this formula in the dataset ... 0.145 eV/atom

a = 5.501 Å, b = 5.501 Å, c = 5.501 Å
α = 60.00°, β = 60.00°, γ = 60.00°
Site moments in Bohr magnetons follow the coordinates.
Fractional coordinates of all 4 atoms:
Gd: 0.750 0.750 0.750  7.31
Gd: 0.250 0.250 0.250  7.31
Tb: 0.000 0.000 0.000  0.41
Tl: 0.500 0.500 0.500  -0.01

No. 2
TbGdTl2 | PBE-GGA | relaxed

Results
Space group ... P4/mmm (123)
DOS at the Fermi energy ... 2.42 states/eV/cell
VASP energy ... -0.459 Ry/atom
Formation energy ... -378 meV per atom
Excess energy over the best structure of this formula in the dataset ... 0.000 eV/atom

a = 3.613 Å, b = 3.613 Å, c = 8.484 Å
α = 90.00°, β = 90.00°, γ = 90.00°
Site moments in Bohr magnetons follow the coordinates.
Fractional coordinates of all 4 atoms:
Tb: 0.500 0.500 0.500  -0.16
Tl: 0.000 0.000 0.748  -0.01
Tl: 0.000 0.000 0.252  -0.01
Gd: 0.500 0.500 0.000  7.20

Which formula does entry 1 have? TbGd2Tl

Copy entry 1 word for word.
TbGd2Tl | PBE-GGA | relaxed

Results
Space group ... Fm-3m (225)
DOS at the Fermi energy ... 4.70 states/eV/cell
VASP energy ... -0.651 Ry/atom
Formation energy ... -74 meV per atom
Excess energy over the best structure of this formula in the dataset ... 0.145 eV/atom

a = 5.501 Å, b = 5.501 Å, c = 5.501 Å
α = 60.00°, β = 60.00°, γ = 60.00°
Site moments in Bohr magnetons follow the coordinates.
Fractional coordinates of all 4 atoms:
Gd: 0.750 0.750 0.750  7.31
Gd: 0.250 0.250 0.250  7.31
Tb: 0.000 0.000 0.000  0.41
Tl: 0.500 0.500 0.500  -0.01